Compound: MgNbHBr2
Source: the Alexandria database
Functional: PBE-GGA
Structure: relaxed

Structure (POSCAR):
```
MgNbHBr2
1.0
-2.616 -0.438 -4.240
-1.195 -5.551 1.312
-4.137 1.458 2.402
H Nb Mg Br
1 1 1 2
direct
0.500 0.500 0.500
0.000 0.000 0.000
0.000 0.500 0.000
0.000 0.000 0.500
0.500 0.000 0.000
```

The calculation puts the calculated total energy at -3.2393 eV per atom.